(1)
NdSmSc2Bi4 | PBE | optimized geometry

Values from the calculation:
V (Å³ per cell): 246
Formation enthalpy at 0 K (eV/atom): -0.788

Unit cell a=7.6477 b=4.4355 c=7.6838 alpha=90.00 beta=109.55 gamma=90.00
With the nearest neighbours (Å) after each atom.
Element x y z (fractional)
Nd1 0.0000 0.0000 0.0000  6 Bi 3.23
Sm1 0.0000 0.5000 0.5000  6 Bi 3.22
Sc1 0.5000 0.0000 0.5000  6 Bi 3.04
Sc2 0.5000 0.5000 0.0000  6 Bi 3.05
Bi1 0.2712 0.0000 0.7555  3 Sc 3.04-3.05, 2 Sm 3.22, 1 Nd 3.23
Bi2 0.2723 0.5000 0.2589  3 Sc 3.04-3.05, 1 Sm 3.22, 2 Nd 3.23
Bi3 0.7277 0.5000 0.7411  3 Sc 3.04-3.05, 1 Sm 3.22, 2 Nd 3.23
Bi4 0.7288 0.0000 0.2445  3 Sc 3.04-3.05, 2 Sm 3.22, 1 Nd 3.23

---

(2)
HoGeBr5 | PBE | optimized geometry

Values from the calculation:
Formation energy from raw total energies (kJ/mol of atoms): -119.7
V (Å³ per cell): 522

Unit cell a=7.3544 b=7.3544 c=10.7952 alpha=108.92 beta=108.92 gamma=85.67
With the nearest neighbours (Å) after each atom.
Element x y z (fractional)
Ho1 0.0000 0.5000 0.0000  6 Br 2.76-2.85
Ho2 0.5000 0.0000 0.5000  6 Br 2.76-2.85
Ge1 0.0763 0.9237 0.7500  4 Br 2.62-2.81
Ge2 0.9237 0.0763 0.2500  4 Br 2.62-2.81
Br1 0.1711 0.6330 0.8462  1 Ge 2.62, 1 Ho 2.81
Br2 0.2123 0.2627 0.4978  1 Ho 2.76, 1 Ge 2.81
Br3 0.2493 0.7507 0.2500  2 Ho 2.85
Br4 0.2627 0.2123 0.9978  1 Ho 2.76, 1 Ge 2.81
Br5 0.3670 0.8289 0.6538  1 Ge 2.62, 1 Ho 2.81
Br6 0.6330 0.1711 0.3462  1 Ge 2.62, 1 Ho 2.81
Br7 0.7373 0.7877 0.0022  1 Ho 2.76, 1 Ge 2.81
Br8 0.7507 0.2493 0.7500  2 Ho 2.85
Br9 0.7877 0.7373 0.5022  1 Ho 2.76, 1 Ge 2.81
Br10 0.8289 0.3670 0.1538  1 Ge 2.62, 1 Ho 2.81

---

(3)
BeTl4As | PBE | optimized geometry

Values from the calculation:
V (Å³ per cell): 179
Formation enthalpy at 0 K (eV/atom): 0.745

Unit cell a=6.3307 b=6.3307 c=6.3307 alpha=60.00 beta=60.00 gamma=60.00
With the nearest neighbours (Å) after each atom.
Element x y z (fractional)
Be1 0.0000 0.0000 0.0000  12 Tl 3.71, 4 As 3.88
Tl1 0.1258 0.6247 0.6247  6 Tl 3.16-3.17
Tl2 0.6247 0.1258 0.6247  6 Tl 3.16-3.17
Tl3 0.6247 0.6247 0.1258  6 Tl 3.16-3.17
Tl4 0.6247 0.6247 0.6247  6 Tl 3.16-3.17
As1 0.2500 0.2500 0.2500  12 Tl 3.71, 4 Be 3.88

---

(4)
Nd2SmEr2 | PBE | optimized geometry

Values from the calculation:
V (Å³ per cell): 351
Formation enthalpy at 0 K (eV/atom): 0.281

Unit cell a=8.1994 b=8.1994 c=6.0740 alpha=103.13 beta=103.13 gamma=110.34
With the nearest neighbours (Å) after each atom.
Element x y z (fractional)
Nd1 0.1080 0.2601 0.3766  1 Nd 3.17, 2 Sm 3.34-3.49, 2 Er 3.36-3.43
Nd2 0.2601 0.1080 0.8766  1 Nd 3.17, 2 Sm 3.34-3.49, 2 Er 3.36-3.43
Nd3 0.7399 0.8920 0.1234  1 Nd 3.17, 2 Sm 3.34-3.49, 2 Er 3.36-3.43
Nd4 0.8920 0.7399 0.6234  1 Nd 3.17, 2 Sm 3.34-3.49, 2 Er 3.36-3.43
Sm1 0.4341 0.5659 0.2500  4 Nd 3.34-3.49, 2 Sm 3.52, 4 Er 3.52-3.57
Sm2 0.5659 0.4341 0.7500  4 Nd 3.34-3.49, 2 Sm 3.52, 4 Er 3.52-3.57
Er1 0.1691 0.8309 0.2500  2 Er 3.52, 1 Sm 3.57, 6 Nd 3.58-3.72
Er2 0.3018 0.6982 0.7500  4 Nd 3.36-3.43, 3 Sm 3.52-3.55, 2 Er 3.52
Er3 0.6982 0.3018 0.2500  4 Nd 3.36-3.43, 3 Sm 3.52-3.55, 2 Er 3.52
Er4 0.8309 0.1691 0.7500  2 Er 3.52, 1 Sm 3.57, 6 Nd 3.58-3.72

---

(5)
TbIn2Te4Pb | PBE | optimized geometry

Values from the calculation:
Formation energy from raw total energies (kJ/mol of atoms): -61.2
V (Å³ per cell): 270

Unit cell a=7.9555 b=4.4506 c=8.0554 alpha=90.00 beta=108.72 gamma=90.00
With the nearest neighbours (Å) after each atom.
Element x y z (fractional)
Tb1 0.0000 0.0000 0.0000  6 Te 3.11-3.12
In1 0.0000 0.5000 0.5000  6 Te 3.18-3.23
In2 0.5000 0.0000 0.5000  6 Te 3.34-3.38
Te1 0.2303 0.5000 0.2346  2 Tb 3.11, 3 In 3.23-3.34, 1 Pb 3.28
Te2 0.2331 0.0000 0.7533  1 Tb 3.12, 3 In 3.18-3.38, 2 Pb 3.27
Te3 0.7669 0.0000 0.2467  1 Tb 3.12, 3 In 3.18-3.38, 2 Pb 3.27
Te4 0.7697 0.5000 0.7654  2 Tb 3.11, 3 In 3.23-3.34, 1 Pb 3.28
Pb1 0.5000 0.5000 0.0000  6 Te 3.27-3.28

---

(6)
PmTh3Ir8 | PBE | optimized geometry

Values from the calculation:
V (Å³ per cell): 229
Formation enthalpy at 0 K (eV/atom): -0.794

Unit cell a=9.4352 b=9.4352 c=9.4352 alpha=33.55 beta=33.55 gamma=33.55
With the nearest neighbours (Å) after each atom.
Element x y z (fractional)
Pm1 0.0000 0.0000 0.0000  12 Ir 3.18-3.21, 4 Th 3.31
Th1 0.1242 0.1242 0.1242  12 Ir 3.17-3.22, 1 Pm 3.31, 3 Th 3.36
Th2 0.5021 0.5021 0.5021  12 Ir 3.17-3.21, 4 Th 3.35-3.36
Th3 0.6277 0.6277 0.6277  12 Ir 3.16-3.22, 3 Pm 3.31, 1 Th 3.35
Ir1 0.0636 0.0636 0.5620  6 Ir 2.71-2.73
Ir2 0.0636 0.5620 0.0636  6 Ir 2.71-2.73
Ir3 0.0656 0.5627 0.5627  6 Ir 2.71-2.74
Ir4 0.3136 0.3136 0.3136  6 Ir 2.72-2.73
Ir5 0.5620 0.0636 0.0636  6 Ir 2.71-2.73
Ir6 0.5627 0.0656 0.5627  6 Ir 2.71-2.74
Ir7 0.5627 0.5627 0.0656  6 Ir 2.71-2.74
Ir8 0.8134 0.8134 0.8134  6 Ir 2.72

---

(7)
TlSnOs2 | PBE | optimized geometry

Values from the calculation:
V (Å³ per cell): 71
Formation enthalpy at 0 K (eV/atom): 0.830

Unit cell a=4.6372 b=4.6372 c=4.6372 alpha=60.00 beta=60.00 gamma=60.00
With the nearest neighbours (Å) after each atom.
Element x y z (fractional)
Tl1 0.0000 0.0000 0.0000  8 Os 2.84
Sn1 0.5000 0.5000 0.5000  8 Os 2.84
Os1 0.2500 0.2500 0.2500  4 Tl 2.84, 4 Sn 2.84
Os2 0.7500 0.7500 0.7500  4 Sn 2.84, 4 Tl 2.84

---

(8)
MgCd2Ag2Hg2 | PBE | optimized geometry

Values from the calculation:
V (Å³ per cell): 208
Formation enthalpy at 0 K (eV/atom): 0.200

Unit cell a=4.7383 b=4.7383 c=10.7018 alpha=90.00 beta=90.00 gamma=120.00
With the nearest neighbours (Å) after each atom.
Element x y z (fractional)
Mg1 0.0000 0.0000 0.0000  2 Hg 2.72
Cd1 0.3333 0.6667 0.4115  4 Ag 2.86-2.90
Cd2 0.6667 0.3333 0.5885  4 Ag 2.86-2.90
Ag1 0.3333 0.6667 0.6783  3 Hg 2.83, 4 Cd 2.86-2.90
Ag2 0.6667 0.3333 0.3217  3 Hg 2.83, 4 Cd 2.86-2.90
Hg1 0.0000 0.0000 0.2543  1 Mg 2.72, 3 Ag 2.83
Hg2 0.0000 0.0000 0.7457  1 Mg 2.72, 3 Ag 2.83

---

(9)
CdOsRu2O | PBE | optimized geometry

Values from the calculation:
Formation energy from raw total energies (kJ/mol of atoms): 65.8
V (Å³ per cell): 73

Unit cell a=3.9782 b=3.9782 c=4.6049 alpha=90.00 beta=90.00 gamma=90.00
With the nearest neighbours (Å) after each atom.
Element x y z (fractional)
Cd1 0.0000 0.0000 0.0000  2 O 2.30
Os1 0.5000 0.5000 0.0000  4 Cd 2.81, 8 Ru 3.04
Ru1 0.0000 0.5000 0.5000  2 O 1.99
Ru2 0.5000 0.0000 0.5000  2 O 1.99
O1 0.0000 0.0000 0.5000  4 Ru 1.99

---

(10)
Ti2Tl2F7 | PBE | optimized geometry

Values from the calculation:
Formation energy from raw total energies (kJ/mol of atoms): -250.3
V (Å³ per cell): 213

Unit cell a=5.4911 b=5.4911 c=7.7799 alpha=96.03 beta=96.03 gamma=112.32
With the nearest neighbours (Å) after each atom.
Element x y z (fractional)
Ti1 0.1696 0.1696 0.4219  4 F 1.83-2.00
Ti2 0.8304 0.8304 0.5781  4 F 1.83-2.00
Tl1 0.3154 0.6846 0.0000  2 F 2.80
Tl2 0.6846 0.3154 0.0000  2 F 2.80
F1 0.0015 0.6418 0.6816  1 Ti 1.83
F2 0.1673 0.1673 0.6760  2 Ti 1.98-2.06
F3 0.3582 0.9985 0.3184  1 Ti 1.83
F4 0.5000 0.5000 0.5000  2 Ti 2.00
F5 0.6418 0.0015 0.6816  1 Ti 1.83
F6 0.8327 0.8327 0.3240  2 Ti 1.98-2.06
F7 0.9985 0.3582 0.3184  1 Ti 1.83

---

(11)
LiSm8Sn6 | PBE | optimized geometry

Values from the calculation:
V (Å³ per cell): 483
Formation enthalpy at 0 K (eV/atom): -0.543

Unit cell a=8.3810 b=8.3810 c=8.3810 alpha=67.54 beta=67.54 gamma=67.54
With the nearest neighbours (Å) after each atom.
Element x y z (fractional)
Li1 0.0000 0.0000 0.0000  6 Sm 3.46, 6 Sn 3.50
Sm1 0.1024 0.4073 0.7835  5 Sn 3.11-3.27, 1 Li 3.46
Sm2 0.2165 0.8976 0.5927  5 Sn 3.11-3.27, 1 Li 3.46
Sm3 0.3326 0.3326 0.3326  6 Sn 3.32-3.37, 3 Sm 3.70
Sm4 0.4073 0.7835 0.1024  5 Sn 3.11-3.27, 1 Li 3.46
Sm5 0.5927 0.2165 0.8976  5 Sn 3.11-3.27, 1 Li 3.46
Sm6 0.6674 0.6674 0.6674  6 Sn 3.32-3.37, 3 Sm 3.70
Sm7 0.7835 0.1024 0.4073  5 Sn 3.11-3.27, 1 Li 3.46
Sm8 0.8976 0.5927 0.2165  5 Sn 3.11-3.27, 1 Li 3.46
Sn1 0.0677 0.7271 0.4190  7 Sm 3.11-3.37
Sn2 0.2729 0.5810 0.9323  7 Sm 3.11-3.37
Sn3 0.4190 0.0677 0.7271  7 Sm 3.11-3.37
Sn4 0.5810 0.9323 0.2729  7 Sm 3.11-3.37
Sn5 0.7271 0.4190 0.0677  7 Sm 3.11-3.37
Sn6 0.9323 0.2729 0.5810  7 Sm 3.11-3.37

---

(12)
TiTeH3 | PBE | optimized geometry

Values from the calculation:
V (Å³ per cell): 63
Total DFT energy (no corrections) (eV/atom): -3.217

Unit cell a=3.9830 b=3.9830 c=3.9830 alpha=90.00 beta=90.00 gamma=90.00
With the nearest neighbours (Å) after each atom.
Element x y z (fractional)
Ti1 0.0000 0.0000 0.0000  12 H 2.82
Te1 0.5000 0.5000 0.5000  6 H 1.99
H1 0.0000 0.5000 0.5000  2 Te 1.99
H2 0.5000 0.0000 0.5000  2 Te 1.99
H3 0.5000 0.5000 0.0000  2 Te 1.99

---

| no. | M_tot (μB per cell) |
| --- | --- |
| 1 | 0.00 |
| 2 | 0.00 |
| 3 | 0.00 |
| 4 | 0.00 |
| 5 | 0.00 |
| 6 | 0.00 |
| 7 | 0.00 |
| 8 | 0.00 |
| 9 | 0.00 |
| 10 | 0.00 |
| 11 | 0.00 |
| 12 | 1.85 |